# 1
# TaMnFe2 (PBEsol, optimized geometry)
data_TaMnFe2
_chemical_formula_sum 'Ta1 Mn1 Fe2'
_cell_length_a 3.055
_cell_length_b 4.009
_cell_length_c 4.027
_cell_angle_alpha 90.00
_cell_angle_beta 90.00
_cell_angle_gamma 90.00
_symmetry_space_group_name_H-M 'P m m m'
_symmetry_Int_Tables_number 47
_symmetry_space_group_name_Hall '-P 2 2'
loop_
_atom_site_label
_atom_site_fract_x
_atom_site_fract_y
_atom_site_fract_z
Ta1 0.000 0.000 0.000
Mn1 0.500 0.500 0.000
Fe1 0.000 0.500 0.500
Fe2 0.500 0.000 0.500
# Energy relative to the elements: -27 meV/atom
# Energy: -10.0864 eV per atom



# 2
# TaMnFe2 (PBEsol, optimized geometry)
data_TaMnFe2
_chemical_formula_sum 'Ta1 Mn1 Fe2'
_cell_length_a 4.010
_cell_length_b 4.010
_cell_length_c 3.064
_cell_angle_alpha 90.00
_cell_angle_beta 90.00
_cell_angle_gamma 90.00
_symmetry_space_group_name_H-M 'P 4/m m m'
_symmetry_Int_Tables_number 123
_symmetry_space_group_name_Hall '-P 4 2'
loop_
_atom_site_label
_atom_site_fract_x
_atom_site_fract_y
_atom_site_fract_z
Ta1 0.000 0.000 0.000
Mn1 0.500 0.500 0.000
Fe1 0.000 0.500 0.500
# Energy relative to the elements: -63 meV/atom
# Energy: -10.1230 eV per atom



# 3
# Ta2MnFe (PBEsol, optimized geometry)
data_Ta2MnFe
_chemical_formula_sum 'Ta4 Mn2 Fe2'
_cell_length_a 5.482
_cell_length_b 7.902
_cell_length_c 2.747
_cell_angle_alpha 90.00
_cell_angle_beta 108.08
_cell_angle_gamma 90.00
_symmetry_space_group_name_H-M 'C 1 2/m 1'
_symmetry_Int_Tables_number 12
_symmetry_space_group_name_Hall '-C 2y'
loop_
_atom_site_label
_atom_site_fract_x
_atom_site_fract_y
_atom_site_fract_z
Ta1 0.250 0.250 0.000
Mn1 0.000 0.000 0.500
Fe1 0.000 0.500 0.500
# Energy relative to the elements: 70 meV/atom
# Energy: -10.8864 eV per atom



# 4
# TaMnFe2 (PBEsol, optimized geometry)
data_TaMnFe2
_chemical_formula_sum 'Ta1 Mn1 Fe2'
_cell_length_a 2.598
_cell_length_b 3.990
_cell_length_c 4.918
_cell_angle_alpha 90.00
_cell_angle_beta 102.64
_cell_angle_gamma 90.00
_symmetry_space_group_name_H-M 'P 1 2/m 1'
_symmetry_Int_Tables_number 10
_symmetry_space_group_name_Hall '-P 2y'
loop_
_atom_site_label
_atom_site_fract_x
_atom_site_fract_y
_atom_site_fract_z
Ta1 0.000 0.000 0.000
Mn1 0.500 0.000 0.500
Fe1 0.253 0.500 0.729
# Energy relative to the elements: 92 meV/atom
# Energy: -9.9673 eV per atom



# 5
# Ta2MnFe (PBEsol, optimized geometry)
data_Ta2MnFe
_chemical_formula_sum 'Ta2 Mn1 Fe1'
_cell_length_a 3.030
_cell_length_b 3.030
_cell_length_c 6.022
_cell_angle_alpha 90.00
_cell_angle_beta 90.00
_cell_angle_gamma 90.00
_symmetry_space_group_name_H-M 'P 4/m m m'
_symmetry_Int_Tables_number 123
_symmetry_space_group_name_Hall '-P 4 2'
loop_
_atom_site_label
_atom_site_fract_x
_atom_site_fract_y
_atom_site_fract_z
Ta1 0.000 0.000 0.250
Mn1 0.500 0.500 0.000
Fe1 0.500 0.500 0.500
# Energy relative to the elements: -197 meV/atom
# Energy: -11.1532 eV per atom



# 6
# TaMnFe2 (PBEsol, optimized geometry)
data_TaMnFe2
_chemical_formula_sum 'Ta2 Mn2 Fe4'
_cell_length_a 3.533
_cell_length_b 3.533
_cell_length_c 8.092
_cell_angle_alpha 90.00
_cell_angle_beta 90.00
_cell_angle_gamma 90.00
_symmetry_space_group_name_H-M 'I -4 m 2'
_symmetry_Int_Tables_number 119
_symmetry_space_group_name_Hall 'I -4 -2'
loop_
_atom_site_label
_atom_site_fract_x
_atom_site_fract_y
_atom_site_fract_z
Ta1 0.000 0.000 0.000
Mn1 0.000 0.500 0.750
Fe1 0.000 0.000 0.500
Fe2 0.000 0.500 0.250
# Energy relative to the elements: 70 meV/atom
# Energy: -9.9901 eV per atom